The following is a GGA-PBE calculation of MnTlPCl2 after structural relaxation, from Alexandria.

a b c (Å): 5.2854 5.2854 5.3265
angles (deg): 90.00 90.00 90.00
Last column: magnetic moment on the atom in μB.
Element x y z (fractional)
Cl: 0.5000 0.0000 0.0000  0.01
P: 0.0000 0.0000 0.5000  -0.29
Tl: 0.0000 0.0000 0.0000  0.00
Cl: 0.0000 0.5000 0.0000  0.01
Mn: 0.5000 0.5000 0.5000  4.72

- Offset from the most stable computed form: 857.7 meV per atom
- Energy relative to the elements, uncorrected: 500 meV per atom
- N(E_F): 2.8 states/eV per cell
- Total magnetization: 4.7 μB per formula unit